Entry 1:
The following is a DFT calculation (PBE) of a relaxed AlH2Br crystal.

Cell and atoms, written as CIF:
```
data_AlH2Br
_cell_length_a 4.082
_cell_length_b 4.082
_cell_length_c 4.082
_cell_angle_alpha 60.00
_cell_angle_beta 60.00
_cell_angle_gamma 60.00
_space_group_name_H-M_alt 'P 1'
_space_group_IT_number 1
loop_
_space_group_symop_operation_xyz
'x,y,z'
loop_
_atom_site_label
_atom_site_type_symbol
_atom_site_fract_x
_atom_site_fract_y
_atom_site_fract_z
_atom_site_occupancy
H1 H 0.250 0.250 0.250 1
H2 H 0.750 0.750 0.750 1
Br1 Br 0.500 0.500 0.500 1
Al1 Al 0.000 0.000 0.000 1
```

Calculated values
- Magnetization: 0.00 μB per formula unit
- Crystal system: cubic
- DFT total energy: -2.20 eV per atom
- Energy above the lowest structure with this stoichiometry: 1177 meV/atom

---

Entry 2:
The following is a DFT calculation (PBE) of a relaxed Ti2ReHRh crystal.

Cell and atoms, written as CIF:
```
data_Ti2ReHRh
_cell_length_a 4.274
_cell_length_b 4.274
_cell_length_c 3.481
_cell_angle_alpha 90.00
_cell_angle_beta 90.00
_cell_angle_gamma 90.00
_space_group_name_H-M_alt 'P 1'
_space_group_IT_number 1
loop_
_space_group_symop_operation_xyz
'x,y,z'
loop_
_atom_site_label
_atom_site_type_symbol
_atom_site_fract_x
_atom_site_fract_y
_atom_site_fract_z
_atom_site_occupancy
Rh1 Rh 0.500 0.500 0.500 1
Ti1 Ti 0.500 0.000 0.000 1
Ti2 Ti 0.000 0.500 0.000 1
Re1 Re 0.000 0.000 0.500 1
H1 H 0.000 0.000 0.000 1
```

Calculated values
- Magnetization: 0.00 μB per formula unit
- Crystal system: tetragonal
- DFT total energy: -8.19 eV per atom
- Energy above the lowest structure with this stoichiometry: 60 meV/atom

---

Entry 3:
The following is a DFT calculation (PBE) of a relaxed HfMg2Fe crystal.

Cell and atoms, written as CIF:
```
data_HfMg2Fe
_cell_length_a 3.792
_cell_length_b 3.792
_cell_length_c 10.666
_cell_angle_alpha 79.76
_cell_angle_beta 79.76
_cell_angle_gamma 90.00
_space_group_name_H-M_alt 'P 1'
_space_group_IT_number 1
loop_
_space_group_symop_operation_xyz
'x,y,z'
loop_
_atom_site_label
_atom_site_type_symbol
_atom_site_fract_x
_atom_site_fract_y
_atom_site_fract_z
_atom_site_occupancy
Fe1 Fe 0.500 0.500 0.000 1
Fe2 Fe 0.250 0.750 0.500 1
Hf1 Hf 0.750 0.250 0.500 1
Hf2 Hf 0.000 0.000 0.000 1
Mg1 Mg 0.375 0.390 0.750 1
Mg2 Mg 0.875 0.860 0.750 1
Mg3 Mg 0.140 0.625 0.250 1
Mg4 Mg 0.610 0.125 0.250 1
```

Calculated values
- Formation energy from the elements: 0.517 eV/atom
- Magnetization: 0.00 μB per formula unit
- Crystal system: tetragonal
- DFT total energy: -4.88 eV per atom
- Energy above the lowest structure with this stoichiometry: 12 meV/atom

---

Entry 4:
The following is a DFT calculation (PBE) of a relaxed Nd3Ge8Rh3 crystal.

Cell and atoms, written as CIF:
```
data_Nd3Ge8Rh3
_cell_length_a 4.231
_cell_length_b 8.393
_cell_length_c 8.393
_cell_angle_alpha 77.89
_cell_angle_beta 75.40
_cell_angle_gamma 75.40
_space_group_name_H-M_alt 'P 1'
_space_group_IT_number 1
loop_
_space_group_symop_operation_xyz
'x,y,z'
loop_
_atom_site_label
_atom_site_type_symbol
_atom_site_fract_x
_atom_site_fract_y
_atom_site_fract_z
_atom_site_occupancy
Nd1 Nd 0.184 0.816 0.816 1
Nd2 Nd 0.500 0.500 0.500 1
Nd3 Nd 0.816 0.184 0.184 1
Ge1 Ge 0.621 0.677 0.081 1
Ge2 Ge 0.158 0.472 0.212 1
Ge3 Ge 0.379 0.323 0.919 1
Ge4 Ge 0.842 0.528 0.788 1
Ge5 Ge 0.842 0.788 0.528 1
Ge6 Ge 0.158 0.212 0.472 1
Ge7 Ge 0.379 0.919 0.323 1
Ge8 Ge 0.621 0.081 0.677 1
Rh1 Rh 0.500 0.000 0.000 1
Rh2 Rh 0.000 0.211 0.789 1
Rh3 Rh 0.000 0.789 0.211 1
```

Calculated values
- Formation energy from the elements: -0.564 eV/atom
- Magnetization: 0.00 μB per formula unit
- Crystal system: orthorhombic
- DFT total energy: -5.80 eV per atom

---

Entry 5:
The following is a DFT calculation (PBE) of a relaxed UTcSnIr crystal.

Cell and atoms, written as CIF:
```
data_UTcSnIr
_cell_length_a 4.735
_cell_length_b 4.735
_cell_length_c 4.735
_cell_angle_alpha 60.00
_cell_angle_beta 60.00
_cell_angle_gamma 60.00
_space_group_name_H-M_alt 'P 1'
_space_group_IT_number 1
loop_
_space_group_symop_operation_xyz
'x,y,z'
loop_
_atom_site_label
_atom_site_type_symbol
_atom_site_fract_x
_atom_site_fract_y
_atom_site_fract_z
_atom_site_occupancy
Ir1 Ir 0.000 0.000 0.000 1
Sn1 Sn 0.250 0.250 0.250 1
U1 U 0.750 0.750 0.750 1
Tc1 Tc 0.500 0.500 0.500 1
```

Calculated values
- Formation energy from the elements: -0.173 eV/atom
- Magnetization: 2.08 μB per formula unit
- Crystal system: cubic
- DFT total energy: -8.80 eV per atom

---

Entry 6:
The following is a DFT calculation (PBE) of a relaxed Na2TlHgBi crystal.

Cell and atoms, written as CIF:
```
data_Na2TlHgBi
_cell_length_a 5.390
_cell_length_b 6.813
_cell_length_c 9.218
_cell_angle_alpha 90.00
_cell_angle_beta 90.00
_cell_angle_gamma 113.30
_space_group_name_H-M_alt 'P 1'
_space_group_IT_number 1
loop_
_space_group_symop_operation_xyz
'x,y,z'
loop_
_atom_site_label
_atom_site_type_symbol
_atom_site_fract_x
_atom_site_fract_y
_atom_site_fract_z
_atom_site_occupancy
Na1 Na 0.824 0.648 0.565 1
Na2 Na 0.176 0.352 0.435 1
Na3 Na 0.176 0.352 0.065 1
Na4 Na 0.824 0.648 0.935 1
Hg1 Hg 0.042 0.084 0.750 1
Hg2 Hg 0.958 0.916 0.250 1
Tl1 Tl 0.500 0.000 0.000 1
Tl2 Tl 0.500 0.000 0.500 1
Bi1 Bi 0.290 0.579 0.750 1
Bi2 Bi 0.710 0.421 0.250 1
```

Calculated values
- Formation energy from the elements: -0.155 eV/atom
- Magnetization: 0.00 μB per formula unit
- Crystal system: orthorhombic
- DFT total energy: -1.99 eV per atom
- Energy above the lowest structure with this stoichiometry: 0 meV/atom